Entry from the Alexandria database: an optimized crystal structure of Tl3SnSb (PBE).

POSCAR file:
```
Tl3SnSb
1.0
12.147 0.000 0.000
0.000 12.147 0.000
0.000 0.000 4.271
Tl Sn Sb
12 4 4
Direct
0.001 0.341 0.000
0.124 0.124 0.500
0.159 0.501 0.500
0.341 0.001 0.000
0.376 0.624 0.000
0.499 0.841 0.500
0.501 0.159 0.500
0.624 0.376 0.000
0.659 0.999 0.000
0.841 0.499 0.500
0.876 0.876 0.500
0.999 0.659 0.000
0.099 0.901 0.000
0.401 0.401 0.500
0.599 0.599 0.500
0.901 0.099 0.000
0.221 0.779 0.500
0.279 0.279 0.000
0.721 0.721 0.000
0.779 0.221 0.500
```

Symmetry   P4_2/mnm (136)
E_tot   -3.020 eV per atom
Crystal system   tetragonal
E above lowest polymorph   0.00 kJ/mol of atoms
Formation energy (no corrections)   25 meV per atom